# HfNi2Pb (PBE-GGA, relaxed)
# Energy of formation from the pure elements ... 0.3229 eV/atom
data_HfNi2Pb
_symmetry_space_group_name_H-M 'I -4 2 d'
_symmetry_Int_Tables_number 122
_symmetry_space_group_name_Hall 'I -4 2bw'
_cell_length_a 4.1931
_cell_length_b 4.1931
_cell_length_c 17.2269
_cell_angle_alpha 90.00
_cell_angle_beta 90.00
_cell_angle_gamma 90.00
loop_
_atom_site_label
_atom_site_type_symbol
_atom_site_fract_x
_atom_site_fract_y
_atom_site_fract_z
_atom_site_occupancy
Hf1 Hf 0.0000 0.0000 0.0000 1
Ni1 Ni 0.2261 0.2500 0.1250 1
Pb1 Pb 0.0000 0.0000 0.5000 1

***

# Cs4Nd3YO8 (PBE-GGA, relaxed)
# E_form (uncorrected) ... -2526 meV per atom
data_Cs4Nd3YO8
_symmetry_space_group_name_H-M 'R -3 m'
_symmetry_Int_Tables_number 166
_symmetry_space_group_name_Hall '-R 3 2"'
_cell_length_a 7.3456
_cell_length_b 7.3456
_cell_length_c 20.8244
_cell_angle_alpha 90.00
_cell_angle_beta 90.00
_cell_angle_gamma 120.00
loop_
_atom_site_label
_atom_site_type_symbol
_atom_site_fract_x
_atom_site_fract_y
_atom_site_fract_z
_atom_site_occupancy
Cs1 Cs 0.0000 0.0000 0.0000 1
Cs2 Cs 0.0000 0.5000 0.0000 1
Nd1 Nd 0.0000 0.5000 0.5000 1
Y1 Y 0.0000 0.0000 0.5000 1
O1 O 0.0000 0.0000 0.2231 1
O2 O 0.0082 0.5041 0.2227 1

***

# ReCl2 (PBE-GGA, relaxed)
# E above lowest polymorph ... 0.544 eV/atom
# E_form (uncorrected) ... 292 meV per atom
data_ReCl2
_symmetry_space_group_name_H-M 'P -3 m 1'
_symmetry_Int_Tables_number 164
_symmetry_space_group_name_Hall '-P 3 2"'
_cell_length_a 3.4951
_cell_length_b 3.4951
_cell_length_c 6.3495
_cell_angle_alpha 90.00
_cell_angle_beta 90.00
_cell_angle_gamma 120.00
loop_
_atom_site_label
_atom_site_type_symbol
_atom_site_fract_x
_atom_site_fract_y
_atom_site_fract_z
_atom_site_occupancy
Re1 Re 0.0000 0.0000 0.0000 1
Cl1 Cl 0.3333 0.6667 0.7813 1